1.
First-principles (PBE) data for a geometry-optimized Na2Cu2Te3 structure, as listed in Alexandria via LeMat-Bulk.

## Properties
As for the energy above the most stable polymorph in this dataset: 72 meV/atom. The calculation puts the uncorrected formation energy at -0.35 eV/atom. Its total DFT energy (no corrections) is -22.71 eV per cell.

a b c (Å): 3.8704 6.7456 7.5600
angles (deg): 109.82 89.95 106.73
Fractional positions:
1 Te 0.0000 0.0000 0.0000
2 Na 0.4030 0.8069 0.6398
3 Na 0.5970 0.1931 0.3602
4 Te 0.8239 0.6500 0.2677
5 Cu 0.6478 0.2933 0.9483
6 Te 0.1761 0.3500 0.7323
7 Cu 0.3522 0.7067 0.0517

2.
First-principles (PBE) data for a geometry-optimized BaMgCl2 structure, as listed in Alexandria via LeMat-Bulk.

## Properties
As for the energy above the most stable polymorph in this dataset: 61 meV/atom. The calculation puts the uncorrected formation energy at -1.44 eV/atom. Its total DFT energy (no corrections) is -12.98 eV per cell.

a b c (Å): 3.8692 3.8692 10.1524
angles (deg): 90.00 90.00 90.00
Fractional positions:
1 Cl 0.0000 0.0000 0.9147
2 Ba 0.5000 0.5000 0.7500
3 Cl 0.0000 0.0000 0.5853
4 Mg 0.5000 0.5000 0.2500

3.
First-principles (PBE) data for a geometry-optimized Mg2TeOs structure, as listed in Alexandria via LeMat-Bulk.

## Properties
The calculation puts the uncorrected formation energy at 0.04 eV/atom. Its total DFT energy (no corrections) is -17.38 eV per cell.

a b c (Å): 6.7776 6.7776 6.7776
angles (deg): 153.28 141.14 47.78
Fractional positions:
1 Os 0.4922 0.4922 0.0000
2 Mg 0.6774 0.1774 0.5000
3 Mg 0.0110 0.0110 0.0000
4 Te 0.3194 0.8194 0.5000

4.
First-principles (PBE) data for a geometry-optimized K5AgTeO2 structure, as listed in Alexandria via LeMat-Bulk.

## Properties
The calculation puts the uncorrected formation energy at -1.02 eV/atom. Its total DFT energy (no corrections) is -30.55 eV per cell.

a b c (Å): 5.4342 5.4342 9.4709
angles (deg): 90.00 90.00 90.00
Fractional positions:
1 Te 0.5000 0.5000 0.5000
2 K 0.0000 0.0000 0.5000
3 Ag 0.0000 0.0000 0.0000
4 O 0.0000 0.0000 0.2158
5 K 0.5000 0.0000 0.7557
6 K 0.5000 0.0000 0.2443
7 K 0.0000 0.5000 0.7557
8 K 0.0000 0.5000 0.2443
9 O 0.0000 0.0000 0.7842

5.
First-principles (PBE) data for a geometry-optimized AlAsIO2 structure, as listed in Alexandria via LeMat-Bulk.

## Properties
As for the energy above the most stable polymorph in this dataset: 0 meV/atom. The calculation puts the uncorrected formation energy at -0.58 eV/atom. Its total DFT energy (no corrections) is -22.75 eV per cell.

a b c (Å): 3.7648 3.7648 7.3740
angles (deg): 90.00 90.00 90.00
Site moments in Bohr magnetons follow the coordinates.
Fractional positions:
1 Al 0.0000 0.0000 0.0000  -0.02
2 O 0.5000 0.0000 0.0000  0.39
3 As 0.5000 0.5000 0.5000  0.06
4 O 0.0000 0.5000 0.0000  0.39
5 I 0.0000 0.0000 0.5000  0.02

6.
First-principles (PBE) data for a geometry-optimized SrLiCeHg structure, as listed in Alexandria via LeMat-Bulk.

## Properties
The calculation puts the formation enthalpy at 0 K at -0.33 eV per formula unit. Its total DFT energy (no corrections) is -10.16 eV per cell.

a b c (Å): 5.5338 5.5338 5.5338
angles (deg): 60.00 60.00 60.00
Site moments in Bohr magnetons follow the coordinates.
Fractional positions:
1 Sr 0.2500 0.2500 0.2500  0.00
2 Hg 0.5000 0.5000 0.5000  0.00
3 Li 0.0000 0.0000 0.0000  0.01
4 Ce 0.7500 0.7500 0.7500  1.00

7.
First-principles (PBE) data for a geometry-optimized Sr2CaAu structure, as listed in Alexandria via LeMat-Bulk.

## Properties
As for the energy above the most stable polymorph in this dataset: 70 meV/atom. The calculation puts the formation enthalpy at 0 K at -1.54 eV per formula unit. Its total DFT energy (no corrections) is -10.18 eV per cell.

a b c (Å): 4.1949 4.7537 8.3971
angles (deg): 73.55 90.00 90.00
Fractional positions:
1 Sr 0.5000 0.2654 0.3440
2 Au 0.0000 0.7244 0.4260
3 Sr 0.0000 0.9273 0.0205
4 Ca 0.5000 0.5829 0.7095

8.
First-principles (PBE) data for a geometry-optimized LaP2W structure, as listed in Alexandria via LeMat-Bulk.

## Properties
As for the energy above the most stable polymorph in this dataset: 139 meV/atom. The calculation puts the formation enthalpy at 0 K at -2.19 eV per formula unit. Its total DFT energy (no corrections) is -30.89 eV per cell.

a b c (Å): 4.6426 3.6197 5.3970
angles (deg): 70.40 90.00 90.00
Fractional positions:
1 P 0.5000 0.3783 0.3682
2 La 0.5000 0.6579 0.8094
3 P 0.0000 0.0639 0.9969
4 W 0.0000 0.3999 0.3256

9.
First-principles (PBE) data for a geometry-optimized ReHg2Te structure, as listed in Alexandria via LeMat-Bulk.

## Properties
As for the energy above the most stable polymorph in this dataset: 120 meV/atom. The calculation puts the uncorrected formation energy at 0.52 eV/atom. Its total DFT energy (no corrections) is -14.09 eV per cell.

a b c (Å): 7.3346 7.3346 7.3346
angles (deg): 155.41 142.31 45.53
Fractional positions:
1 Te 0.6690 0.1690 0.5000
2 Hg 0.3305 0.8305 0.5000
3 Re 0.5136 0.5136 0.0000
4 Hg 0.9869 0.9869 0.0000

10.
First-principles (PBE) data for a geometry-optimized ErUCl structure, as listed in Alexandria via LeMat-Bulk.

## Properties
The calculation puts the uncorrected formation energy at -0.51 eV/atom. Its total DFT energy (no corrections) is -38.46 eV per cell.

a b c (Å): 7.9340 7.9347 15.1640
angles (deg): 154.24 154.24 26.41
Site moments in Bohr magnetons follow the coordinates.
Fractional positions:
1 U 0.9952 0.2979 0.0917  1.35
2 Cl 0.9457 0.2478 0.2525  0.00
3 Cl 0.9176 0.2197 0.7090  0.00
4 Er 0.5361 0.8386 0.4783  0.04
5 U 0.2014 0.5041 0.8131  1.33
6 Er 0.5419 0.8443 0.9551  0.07

11.
First-principles (PBE) data for a geometry-optimized Mg2NiGe structure, as listed in Alexandria via LeMat-Bulk.

## Properties
The calculation puts the formation enthalpy at 0 K at -0.08 eV per formula unit. Its total DFT energy (no corrections) is -27.33 eV per cell.

a b c (Å): 9.6810 9.6810 7.1886
angles (deg): 47.67 47.67 90.00
Fractional positions:
1 Mg 0.8750 0.6270 0.7500
2 Ge 0.0000 0.0000 0.0000
3 Mg 0.3770 0.1250 0.2500
4 Mg 0.3750 0.6230 0.7500
5 Mg 0.3730 0.6250 0.2500
6 Ni 0.5000 0.5000 0.0000
7 Ge 0.7500 0.2500 0.5000
8 Ni 0.2500 0.7500 0.5000

12.
First-principles (PBE) data for a geometry-optimized NdNpOs structure, as listed in Alexandria via LeMat-Bulk.

## Properties
The calculation puts the formation enthalpy at 0 K at 0.52 eV per formula unit. Its total DFT energy (no corrections) is -170.50 eV per cell.

a b c (Å): 5.6949 5.6949 13.9437
angles (deg): 78.22 78.22 60.00
Site moments in Bohr magnetons follow the coordinates.
Fractional positions:
1 Np 0.7465 0.7465 0.3290  0.90
2 Nd 0.2712 0.2712 0.1863  0.01
3 Np 0.8220 0.2535 0.6710  0.90
4 Np 0.2535 0.8220 0.6710  0.90
5 Os 0.0000 0.5000 0.0000  0.05
6 Np 0.7465 0.1780 0.3290  0.90
7 Os 0.6108 0.6108 0.1676  -0.09
8 Np 0.1780 0.7465 0.3290  0.90
9 Os 0.3892 0.3892 0.8324  -0.09
10 Np 0.2535 0.2535 0.6710  0.90
11 Nd 0.0368 0.0368 0.8897  0.00
12 Nd 0.1821 0.1821 0.4536  -0.03
13 Nd 0.8179 0.8179 0.5464  -0.03
14 Os 0.5000 0.5000 0.5000  -0.11
15 Os 0.5000 0.5000 0.0000  0.05
16 Nd 0.7288 0.7288 0.8137  0.01
17 Nd 0.9632 0.9632 0.1103  0.00
18 Os 0.5000 0.0000 0.0000  0.05